Entry P
Compound: B5C
Source: the Alexandria database
Functional: PBE-GGA
Structure: optimized geometry

The structure belongs to space group P-3m1 (No. 164); the cell edges are 2.7723, 2.7723 and 16.6248 Å and the angles 90.00°, 90.00° and 120.00°. Symmetry generates all atoms from B at (0.0000, 0.0000, 0.0503), B at (0.0000, 0.0000, 0.4488), B at (0.3333, 0.6667, 0.1113), B at (0.3333, 0.6667, 0.5709), B at (0.3333, 0.6667, 0.7877) and C at (0.3333, 0.6667, 0.2058).

The density of states at the Fermi level comes out at 0.228 states/eV per atom. The value obtained for the magnetization is 0.00 μB/cell.

=====

Entry Q
Compound: B5C
Source: the Alexandria database
Functional: PBE-GGA
Structure: optimized geometry

The structure belongs to space group Pmma (No. 51); the cell edges are 2.1471, 2.5882 and 14.8824 Å and the angles 90.00°, 90.00° and 90.00°. Symmetry generates all atoms from B at (0.2500, 0.0000, 0.0474), B at (0.2500, 0.0000, 0.6925), B at (0.2500, 0.5000, 0.1297), B at (0.2500, 0.5000, 0.4501), B at (0.2500, 0.5000, 0.7763) and C at (0.2500, 0.0000, 0.3894).

The density of states at the Fermi level comes out at 0.150 states/eV per atom. The value obtained for the magnetization is 0.00 μB/cell.

=====

Taking the most stable structure as the zero point, the relative energies in kJ/mol of atoms are entry P 18.4; entry Q 0.0.

=====

Entry P
Compound: MnNi2Mo
Source: the Alexandria database
Functional: PBE-GGA
Structure: optimized geometry

The structure belongs to space group Pmmm (No. 47); the cell edges are 2.6093, 3.7506 and 5.0866 Å and the angles 90.00°, 90.00° and 90.00°. Symmetry generates all atoms from Mn at (0.0000, 0.0000, 0.0000), Ni at (0.5000, 0.5000, 0.2450) and Mo at (0.0000, 0.0000, 0.5000).

The density of states at the Fermi level comes out at 0.910 states/eV per atom. The value obtained for the magnetization is 2.80 μB/cell.

=====

Entry Q
Compound: MnNi2Mo
Source: the Alexandria database
Functional: PBE-GGA
Structure: optimized geometry

The structure belongs to space group P4mm (No. 99); the cell edges are 3.0581, 3.0581 and 5.3200 Å and the angles 90.00°, 90.00° and 90.00°. Symmetry generates all atoms from Mn at (0.0000, 0.0000, 0.0000), Ni at (0.0000, 0.0000, 0.5252), Ni at (0.5000, 0.5000, 0.7617) and Mo at (0.5000, 0.5000, 0.2642).

The density of states at the Fermi level comes out at 1.110 states/eV per atom. The value obtained for the magnetization is 1.54 μB/cell.

=====

Taking the most stable structure as the zero point, the relative energies in kJ/mol of atoms are entry P 0.0; entry Q 6.9.